DFT (PBE) results for a relaxed Sm2Zn9Ag crystal.

Lattice parameters (Å, degrees): 5.4722 5.4722 9.1327 72.57 72.57 60.00
Positions (direct):
Zn 0.0783 0.5839 0.7540
Zn 0.4161 0.9217 0.2460
Zn 0.5839 0.0783 0.7540
Ag 0.0000 0.0000 0.0000
Zn 0.6654 0.6654 0.0039
Zn 0.5000 0.5000 0.5000
Zn 0.4161 0.4161 0.2460
Zn 0.3346 0.3346 0.9961
Sm 0.1398 0.1398 0.5807
Zn 0.5839 0.5839 0.7540
Zn 0.9217 0.4161 0.2460
Sm 0.8602 0.8602 0.4193

As for the total energy: -25.1 eV per cell. As for the symmetry: R-3m, No. 166. The density of states at the Fermi level comes out at 6.96 states/eV/f.u.